No. 1
! ScPdSe2Br PBEsol relaxed; values from VASP
! Total moment, μB per formula unit: 0.6
! Space group: No. 123
! Raw formation energy, eV/atom: -0.156
&SYSTEM
  ibrav = 0, nat = 5, ntyp = 4
/
ATOMIC_SPECIES
Sc 44.96 Sc.upf
Se 78.96 Se.upf
Br 79.90 Br.upf
Pd 106.42 Pd.upf
CELL_PARAMETERS angstrom
-4.899 0.856 0.979
0.871 -0.672 4.947
0.961 4.927 0.500
ATOMIC_POSITIONS crystal
Sc 0.000 0.000 0.000
Se 0.000 0.500 0.000
Se 0.500 0.000 0.000
Br 0.000 0.000 0.500
Pd 0.500 0.500 0.500



No. 2
! CdHg PBEsol relaxed; values from VASP
! Calculated formation energy, eV/atom: -0.0032
! Total moment, μB per formula unit: 0.0
! Space group: No. 62
&SYSTEM
  ibrav = 0, nat = 8, ntyp = 2
/
ATOMIC_SPECIES
Cd 112.41 Cd.upf
Hg 200.59 Hg.upf
CELL_PARAMETERS angstrom
-4.484 -0.595 -1.190
1.692 -2.569 -5.093
-0.007 -5.633 2.840
ATOMIC_POSITIONS crystal
Cd 0.250 0.133 0.082
Cd 0.750 0.633 0.418
Cd 0.250 0.367 0.582
Cd 0.750 0.867 0.918
Hg 0.250 0.628 0.120
Hg 0.750 0.128 0.380
Hg 0.250 0.872 0.620
Hg 0.750 0.372 0.880



No. 3
! MnTe2Rh PBEsol relaxed; values from VASP
! Total moment, μB per formula unit: 3.4
! Space group: No. 123
! Raw formation energy, eV/atom: 0.103
&SYSTEM
  ibrav = 0, nat = 4, ntyp = 3
/
ATOMIC_SPECIES
Mn 54.94 Mn.upf
Rh 102.91 Rh.upf
Te 127.60 Te.upf
CELL_PARAMETERS angstrom
-1.688 -0.740 -2.816
-0.101 -4.480 1.237
-4.021 0.705 2.225
ATOMIC_POSITIONS crystal
Mn 0.500 0.500 0.500
Rh 0.500 0.000 0.000
Te 0.000 0.000 0.500
Te 0.000 0.500 0.000



No. 4
! MnTlOs2 PBEsol relaxed; values from VASP
! Calculated formation energy, eV/atom: 0.6022
! Total moment, μB per formula unit: 2.6
! Space group: No. 12
&SYSTEM
  ibrav = 0, nat = 4, ntyp = 3
/
ATOMIC_SPECIES
Mn 54.94 Mn.upf
Os 190.23 Os.upf
Tl 204.38 Tl.upf
CELL_PARAMETERS angstrom
2.842 0.000 0.000
-1.421 4.487 0.005
0.000 -1.028 4.802
ATOMIC_POSITIONS crystal
Mn 0.500 0.000 0.000
Os 0.769 0.537 0.790
Os 0.231 0.463 0.210
Tl 0.000 0.000 0.500



No. 5
! PSe PBEsol relaxed; values from VASP
! Total moment, μB per formula unit: 0.0
! Space group: No. 129
! Raw formation energy, eV/atom: 0.091
&SYSTEM
  ibrav = 0, nat = 4, ntyp = 2
/
ATOMIC_SPECIES
P 30.97 P.upf
Se 78.96 Se.upf
CELL_PARAMETERS angstrom
-1.747 -2.669 0.883
0.003 -1.042 -3.141
6.311 -3.721 1.240
ATOMIC_POSITIONS crystal
P 0.500 0.000 0.467
P 0.000 0.500 0.533
Se 0.500 0.000 0.173
Se 0.000 0.500 0.827



No. 6
! YMoPb2 PBEsol relaxed; values from VASP
! Calculated formation energy, eV/atom: 0.1647
! Total moment, μB per formula unit: 0.0
! Space group: No. 12
&SYSTEM
  ibrav = 0, nat = 4, ntyp = 3
/
ATOMIC_SPECIES
Mo 95.94 Mo.upf
Pb 207.20 Pb.upf
Y 88.91 Y.upf
CELL_PARAMETERS angstrom
-1.399 2.486 -2.769
-3.660 -2.881 2.116
1.143 4.138 3.138
ATOMIC_POSITIONS crystal
Mo 0.000 0.000 0.500
Pb 0.736 0.473 0.712
Pb 0.264 0.527 0.288
Y 0.500 0.000 0.000



No. 7
! Y2RhBr PBEsol relaxed; values from VASP
! Total moment, μB per formula unit: 0.0
! Space group: No. 123
! Raw formation energy, eV/atom: -0.819
&SYSTEM
  ibrav = 0, nat = 4, ntyp = 3
/
ATOMIC_SPECIES
Y 88.91 Y.upf
Rh 102.91 Rh.upf
Br 79.90 Br.upf
CELL_PARAMETERS angstrom
-0.786 -0.302 -3.900
3.209 -2.326 -0.467
-3.220 -4.646 1.009
ATOMIC_POSITIONS crystal
Y 0.000 0.000 0.875
Y 0.500 0.500 0.375
Rh 0.500 0.500 0.875
Br 0.000 0.000 0.375



No. 8
! ZrAlCrIr2 PBEsol relaxed; values from VASP
! Calculated formation energy, eV/atom: 0.4932
! Total moment, μB per formula unit: 0.0
! Space group: No. 123
&SYSTEM
  ibrav = 0, nat = 5, ntyp = 4
/
ATOMIC_SPECIES
Cr 52.00 Cr.upf
Ir 192.22 Ir.upf
Al 26.98 Al.upf
Zr 91.22 Zr.upf
CELL_PARAMETERS angstrom
-2.228 -2.705 -2.536
3.829 -1.959 -1.274
-0.352 -2.901 3.403
ATOMIC_POSITIONS crystal
Cr 0.000 0.000 0.000
Ir 0.000 0.000 0.500
Ir 0.000 0.500 0.000
Al 0.500 0.000 0.000
Zr 0.500 0.500 0.500



Number 1: ρ 4.99 g/cm3. Number 2: ρ 11.84 g/cm3. Number 3: ρ 9.43 g/cm3. Number 4: ρ 17.35 g/cm3. Number 5: ρ 4.49 g/cm3. Number 6: ρ 10.78 g/cm3. Number 7: ρ 6.55 g/cm3. Number 8: ρ 10.58 g/cm3.